Here is a relaxed structure of RbAc2Nd from Alexandria via LeMat-Bulk. Energies are from PBE.

a b c (Å): 14.3970 14.3970 14.3970
angles (deg): 15.76 15.76 15.76
Last column: nearest neighbours and their distance in Å.
Fractional positions:
1 Rb 0.0000 0.0000 0.0000  6 Rb 3.95, 2 Ac 4.08
2 Ac 0.0957 0.0957 0.0957  3 Nd 3.79, 6 Ac 3.95, 1 Rb 4.08
3 Ac 0.9043 0.9043 0.9043  3 Nd 3.79, 6 Ac 3.95, 1 Rb 4.08
4 Nd 0.5000 0.5000 0.5000  6 Ac 3.79, 6 Nd 3.95

Computed properties:
- Space-group type: R-3m, No. 166
- DFT total energy: -13.22 eV per cell